PBE LiPuNiIr, relaxed; energy relative to the elements = -0.17 eV/atom; E_tot = -7.89 eV per atom; DOS at the Fermi energy = 1.307 states/eV/atom; space group = No. 216
1.0
4.519 0.000 0.000
2.260 3.914 0.000
2.260 1.305 3.690
Pu Li Ni Ir
1 1 1 1
Cartesian
4.519 2.609 1.845
0.000 0.000 0.000
2.260 1.305 0.922
6.779 3.914 2.767



PBE Li2ReNiIr, relaxed; energy relative to the elements = 1.45 eV/atom; E_tot = -4.74 eV per atom; DOS at the Fermi energy = 0.617 states/eV/atom; space group = No. 123
1.0
-3.974 -1.680 -0.054
1.525 -3.682 2.310
-0.886 1.975 3.733
Li Ni Re Ir
2 1 1 1
Cartesian
-1.987 -0.840 -0.027
-0.443 0.988 1.866
0.763 -1.841 1.155
-1.667 -1.693 2.995
0.000 0.000 0.000



PBE LiNiIrRh, relaxed; energy relative to the elements = 0.06 eV/atom; E_tot = -5.92 eV per atom; DOS at the Fermi energy = 1.264 states/eV/atom; space group = No. 216
1.0
4.138 0.000 0.000
2.069 3.584 0.000
2.069 1.195 3.379
Rh Ir Ni Li
1 1 1 1
Cartesian
0.000 0.000 0.000
4.138 2.389 1.689
2.069 1.195 0.845
6.207 3.584 2.534



PBE LiNiSbIr, relaxed; E_tot = -5.42 eV per atom; DOS at the Fermi energy = 0.827 states/eV/atom; energy relative to the elements, uncorrected = -0.248 eV per atom; space group = No. 216
1.0
4.336 0.000 0.000
2.168 3.755 0.000
2.168 1.252 3.540
Li Ir Ni Sb
1 1 1 1
Cartesian
2.168 1.252 0.885
4.336 2.503 1.770
0.000 0.000 0.000
6.504 3.755 2.655



PBE LiSiNiIr, relaxed; E_tot = -6.09 eV per atom; DOS at the Fermi energy = 0.174 states/eV/atom; energy relative to the elements, uncorrected = -0.597 eV per atom; space group = No. 216
1.0
-2.313 3.254 -0.543
-1.863 1.695 3.145
1.218 3.588 1.369
Ni Li Ir Si
1 1 1 1
Cartesian
-2.219 6.403 2.978
0.000 0.000 0.000
-0.740 2.134 0.993
-1.479 4.269 1.985



PBE LiNiSnIr, relaxed; energy relative to the elements = -0.28 eV/atom; E_tot = -5.42 eV per atom; DOS at the Fermi energy = 0.359 states/eV/atom; space group = No. 119
1.0
4.027 0.000 0.000
0.000 4.027 0.000
-2.014 -2.014 3.559
Li Ni Ir Sn
1 1 1 1
Cartesian
0.000 2.014 1.780
2.014 2.014 0.000
0.000 0.000 0.000
2.014 0.000 1.780



PBE LiTbNiIr, relaxed; energy relative to the elements = -0.27 eV/atom; E_tot = -5.56 eV per atom; DOS at the Fermi energy = 1.184 states/eV/atom; space group = No. 216
1.0
-0.256 2.503 -3.679
-3.487 -0.422 -2.745
-3.029 3.259 -0.272
Li Ir Ni Tb
1 1 1 1
Cartesian
-1.693 1.335 -1.674
0.000 0.000 0.000
-5.079 4.005 -5.023
-3.386 2.670 -3.348



PBE LiThNiIr, relaxed; energy relative to the elements = -0.36 eV/atom; E_tot = -6.36 eV per atom; DOS at the Fermi energy = 0.557 states/eV/atom; space group = No. 216
1.0
4.685 0.000 0.000
2.343 4.058 0.000
2.343 1.353 3.826
Th Ni Ir Li
1 1 1 1
Cartesian
0.000 0.000 0.000
2.343 1.353 0.956
7.028 4.058 2.869
4.685 2.705 1.913



PBE LiTiNiIr2, relaxed; energy relative to the elements = 0.79 eV/atom; E_tot = -5.88 eV per atom; DOS at the Fermi energy = 0.971 states/eV/atom; space group = No. 123
1.0
4.591 0.000 0.000
0.000 4.434 0.000
0.000 0.000 4.591
Ni Ir Ti Li
1 2 1 1
Cartesian
0.000 2.217 0.000
2.296 0.000 0.000
0.000 0.000 2.296
0.000 0.000 0.000
2.296 2.217 2.296



PBE LiTmNiIr, relaxed; energy relative to the elements = -0.32 eV/atom; E_tot = -5.57 eV per atom; DOS at the Fermi energy = 1.194 states/eV/atom; space group = No. 216
1.0
-3.780 1.418 -1.777
-1.222 -1.407 -3.998
-3.414 -2.762 -0.417
Ni Tm Li Ir
1 1 1 1
Cartesian
-6.313 -2.064 -4.644
-4.208 -1.376 -3.096
-2.104 -0.688 -1.548
0.000 0.000 0.000



PBE LiUNiIr, relaxed; energy relative to the elements = -0.19 eV/atom; E_tot = -7.15 eV per atom; DOS at the Fermi energy = 1.454 states/eV/atom; space group = No. 216
1.0
-3.135 2.532 2.062
-4.132 -1.688 0.760
-1.297 -0.996 4.222
U Ir Ni Li
1 1 1 1
Cartesian
-4.282 -0.076 3.522
-6.423 -0.114 5.283
-2.141 -0.038 1.761
0.000 0.000 0.000



PBE LiVNiIr, relaxed; energy relative to the elements = -0.27 eV/atom; E_tot = -6.68 eV per atom; DOS at the Fermi energy = 0.959 states/eV/atom; space group = No. 216
1.0
4.125 0.000 0.000
2.062 3.572 0.000
2.062 1.191 3.368
Ni V Li Ir
1 1 1 1
Cartesian
0.000 0.000 0.000
6.187 3.572 2.526
2.062 1.191 0.842
4.125 2.382 1.684



PBE LiZrNiIr2, relaxed; energy relative to the elements = 0.55 eV/atom; E_tot = -6.24 eV per atom; DOS at the Fermi energy = 0.555 states/eV/atom; space group = No. 123
1.0
-3.974 -0.276 1.155
0.493 -4.248 0.682
1.089 0.757 3.930
Ir Ni Zr Li
2 1 1 1
Cartesian
-1.987 -0.138 0.577
0.545 0.379 1.965
-1.196 -1.883 2.883
0.246 -2.124 0.341
0.000 0.000 0.000



PBE LiNpIr2, relaxed; energy relative to the elements = -0.27 eV/atom; E_tot = -8.42 eV per atom; ΔE to the lowest computed polymorph = 52 meV/atom; DOS at the Fermi energy = 1.282 states/eV/atom; space group = No. 225
1.0
4.561 0.000 0.000
2.281 3.950 0.000
2.281 1.317 3.724
Ir Li Np
2 1 1
Cartesian
2.281 1.317 0.931
6.842 3.950 2.793
4.561 2.633 1.862
0.000 0.000 0.000



PBE LiNp3Ir8, relaxed; energy relative to the elements = -0.38 eV/atom; E_tot = -9.68 eV per atom; DOS at the Fermi energy = 1.975 states/eV/atom; space group = No. 160
1.0
-2.663 -0.078 4.586
1.184 -3.619 3.693
5.299 4.190 6.216
Li Ir Np
1 8 3
Cartesian
0.743 -1.616 9.606
0.946 -2.642 6.639
3.945 1.381 11.516
3.576 -0.555 9.737
0.352 -0.825 4.784
-0.986 -0.864 7.088
2.246 -0.594 12.028
1.655 1.213 10.183
2.034 1.133 4.268
4.049 2.250 8.524
1.850 0.191 7.212
-1.409 -3.631 8.322



PBE LiNpIr4, relaxed; energy relative to the elements = -0.31 eV/atom; E_tot = -8.70 eV per atom; DOS at the Fermi energy = 1.615 states/eV/atom; space group = No. 216
1.0
-5.018 -1.523 0.302
-2.489 -1.712 -4.298
-1.235 -5.084 -0.470
Ir Li Np
4 1 1
Cartesian
-2.947 -4.439 -2.946
-4.849 -2.649 -2.558
-4.219 -4.344 -0.634
-5.470 -5.204 -2.794
0.000 0.000 0.000
-2.186 -2.080 -1.117



PBE LiNpIr2, relaxed; energy relative to the elements = -0.32 eV/atom; E_tot = -8.47 eV per atom; ΔE to the lowest computed polymorph = 0 meV/atom; DOS at the Fermi energy = 1.796 states/eV/atom; space group = No. 123
1.0
-3.217 -1.130 1.651
-1.511 -1.100 -3.698
1.582 -3.799 0.483
Np Ir Li
1 2 1
Cartesian
-1.573 -3.014 -0.782
-0.756 -0.550 -1.849
0.791 -1.899 0.241
-1.608 -0.565 0.825



PBE LiNpIrO6, relaxed; E_tot = -7.73 eV per atom; DOS at the Fermi energy = 0.616 states/eV/atom; energy relative to the elements, uncorrected = -1.789 eV per atom; space group = No. 163
1.0
5.238 0.000 0.000
-2.619 4.536 0.000
0.000 0.000 9.517
O Li Ir Np
12 2 2 2
Cartesian
-0.880 1.586 1.288
-1.685 2.981 3.470
0.880 1.586 3.470
0.934 1.555 8.229
-0.805 4.505 1.288
3.424 0.031 8.229
1.739 2.950 6.047
0.805 4.505 3.470
1.814 0.031 6.047
3.499 2.950 8.229
1.685 2.981 1.288
4.304 1.555 6.047
0.000 0.000 0.000
0.000 0.000 4.759
0.000 3.024 2.379
2.619 1.512 7.138
2.619 1.512 2.379
0.000 3.024 7.138



PBE LiNpIrPb, relaxed; energy relative to the elements = -0.06 eV/atom; E_tot = -6.92 eV per atom; DOS at the Fermi energy = 3.098 states/eV/atom; space group = No. 216
1.0
4.814 0.000 0.000
2.407 4.169 0.000
2.407 1.390 3.931
Pb Ir Np Li
1 1 1 1
Cartesian
2.407 1.390 0.983
4.814 2.780 1.965
7.222 4.169 2.948
0.000 0.000 0.000



PBE LiNpIrPd, relaxed; energy relative to the elements = -0.26 eV/atom; E_tot = -7.49 eV per atom; DOS at the Fermi energy = 1.190 states/eV/atom; space group = No. 216
1.0
4.621 0.000 0.000
2.311 4.002 0.000
2.311 1.334 3.773
Li Np Pd Ir
1 1 1 1
Cartesian
0.000 0.000 0.000
4.621 2.668 1.887
2.311 1.334 0.943
6.932 4.002 2.830



| no. | magnetic moment (Bohr magnetons per cell) |
| --- | --- |
| 1 | 4.113 |
| 2 | 4.963 |
| 3 | 0.947 |
| 4 | 0.000 |
| 5 | 0.000 |
| 6 | 0.000 |
| 7 | 0.000 |
| 8 | 0.000 |
| 9 | 0.006 |
| 10 | 0.002 |
| 11 | 1.758 |
| 12 | 0.420 |
| 13 | 0.644 |
| 14 | 2.915 |
| 15 | 9.617 |
| 16 | 2.375 |
| 17 | 2.506 |
| 18 | 1.929 |
| 19 | 3.629 |
| 20 | 3.127 |